# 1
A plane-wave DFT calculation with GGA-PBE was carried out for a relaxed Ba6YRe3O18 crystal.

abc: 10.2151 10.2151 10.1029
angles: 99.71 99.71 119.99
Sites, in units of the cell vectors:
Ba 0.0366 0.7020 0.6050
Ba 0.1390 0.4583 0.8748
Ba 0.2221 0.2221 0.1263
Ba 0.2980 0.9634 0.3950
Ba 0.3680 0.3680 0.6088
Ba 0.4583 0.1390 0.8748
Ba 0.5417 0.8610 0.1252
Ba 0.6320 0.6320 0.3912
Ba 0.7020 0.0366 0.6050
Ba 0.7779 0.7779 0.8737
Ba 0.8610 0.5417 0.1252
Ba 0.9634 0.2980 0.3950
Y 0.1669 0.8331 0.0000
Y 0.8331 0.1669 0.0000
Re 0.0778 0.0778 0.7334
Re 0.2558 0.5885 0.2671
Re 0.4115 0.7442 0.7329
Re 0.5885 0.2558 0.2671
Re 0.7442 0.4115 0.7329
Re 0.9222 0.9222 0.2666
O 0.0377 0.8830 0.1387
O 0.0420 0.1976 0.6321
O 0.0559 0.3909 0.1388
O 0.1135 0.1135 0.3629
O 0.1170 0.9623 0.8613
O 0.1273 0.6208 0.3606
O 0.1976 0.0420 0.6321
O 0.2097 0.7001 0.1375
O 0.2210 0.5583 0.6317
O 0.2611 0.2611 0.8614
O 0.2873 0.4679 0.3702
O 0.2999 0.7903 0.8625
O 0.3549 0.5464 0.1402
O 0.3792 0.8727 0.6394
O 0.3909 0.0559 0.1388
O 0.4417 0.7790 0.3683
O 0.4536 0.6451 0.8598
O 0.4679 0.2873 0.3702
O 0.5321 0.7127 0.6298
O 0.5464 0.3549 0.1402
O 0.5583 0.2210 0.6317
O 0.6091 0.9441 0.8612
O 0.6208 0.1273 0.3606
O 0.6451 0.4536 0.8598
O 0.7001 0.2097 0.1375
O 0.7127 0.5321 0.6298
O 0.7389 0.7389 0.1386
O 0.7790 0.4417 0.3683
O 0.7903 0.2999 0.8625
O 0.8024 0.9580 0.3679
O 0.8727 0.3792 0.6394
O 0.8830 0.0377 0.1387
O 0.8865 0.8865 0.6371
O 0.9441 0.6091 0.8612
O 0.9580 0.8024 0.3679
O 0.9623 0.1170 0.8613

Properties
For the density, the calculation gives 6.80 g cm⁻³. The magnetic moment comes out at 0.0 μB per cell. Its space-group type is C2/m. The value obtained for the uncorrected formation energy is -2.437 eV/atom. The density of states at the Fermi level is 0.0000 states/eV/atom.

=====

# 2
A plane-wave DFT calculation with GGA-PBE was carried out for a relaxed Ba2YbReO6 crystal.

abc: 5.9809 5.9809 5.9809
angles: 60.00 60.00 60.00
Sites, in units of the cell vectors:
Ba 0.2500 0.2500 0.2500
Ba 0.7500 0.7500 0.7500
Yb 0.0000 0.0000 0.0000
Re 0.5000 0.5000 0.5000
O 0.2686 0.2686 0.7314
O 0.2686 0.7314 0.2686
O 0.2686 0.7314 0.7314
O 0.7314 0.2686 0.2686
O 0.7314 0.2686 0.7314
O 0.7314 0.7314 0.2686

Properties
For the density, the calculation gives 8.01 g cm⁻³. The magnetic moment comes out at 0.0 μB per cell. Its space-group type is Fm-3m. The value obtained for the uncorrected formation energy is -2.531 eV/atom. The density of states at the Fermi level is 0.2762 states/eV/atom.

=====

# 3
A plane-wave DFT calculation with GGA-PBE was carried out for a relaxed BaZnRe2O8 crystal.

abc: 5.8030 5.8030 7.3446
angles: 90.00 90.00 120.00
Sites, in units of the cell vectors:
Ba 0.0000 0.0000 0.0000
Zn 0.0000 0.0000 0.5000
Re 0.3333 0.6667 0.7492
Re 0.6667 0.3333 0.2508
O 0.1601 0.3201 0.6839
O 0.1601 0.8399 0.6839
O 0.3201 0.1601 0.3161
O 0.3333 0.6667 0.9934
O 0.6667 0.3333 0.0066
O 0.6799 0.8399 0.6839
O 0.8399 0.1601 0.3161
O 0.8399 0.6799 0.3161

Properties
For the density, the calculation gives 5.45 g cm⁻³. The magnetic moment comes out at 2.0 μB per cell. Its space-group type is P-3m1. The value obtained for the uncorrected formation energy is -1.693 eV/atom. The density of states at the Fermi level is 0.7825 states/eV/atom.

=====

# 4
A plane-wave DFT calculation with GGA-PBE was carried out for a relaxed Ba2ZrRe3O12 crystal.

abc: 7.4627 7.4627 7.4627
angles: 59.09 59.09 59.09
Sites, in units of the cell vectors:
Ba 0.1696 0.1696 0.1696
Ba 0.8304 0.8304 0.8304
Zr 0.5000 0.5000 0.5000
Re 0.0000 0.5000 0.5000
Re 0.5000 0.0000 0.5000
Re 0.5000 0.5000 0.0000
O 0.1539 0.5832 0.5832
O 0.1986 0.1985 0.5663
O 0.1986 0.5663 0.1986
O 0.4168 0.4168 0.8461
O 0.4168 0.8461 0.4168
O 0.4337 0.8015 0.8015
O 0.5663 0.1985 0.1985
O 0.5832 0.1539 0.5832
O 0.5832 0.5832 0.1539
O 0.8015 0.4337 0.8015
O 0.8015 0.8015 0.4337
O 0.8461 0.4168 0.4168

Properties
For the density, the calculation gives 6.44 g cm⁻³. The magnetic moment comes out at 2.1 μB per cell. Its space-group type is R-3m. The value obtained for the uncorrected formation energy is -2.085 eV/atom. The density of states at the Fermi level is 0.4858 states/eV/atom.

=====

# 5
A plane-wave DFT calculation with GGA-PBE was carried out for a relaxed Ba2RhO crystal.

abc: 6.8186 6.8186 6.8186
angles: 116.46 116.46 96.25
Sites, in units of the cell vectors:
Ba 0.0732 0.6250 0.9482
Ba 0.3750 0.3232 0.4482
Ba 0.6768 0.1250 0.0518
Ba 0.8750 0.9268 0.5518
Rh 0.2500 0.7500 0.5000
Rh 0.5000 0.5000 0.0000
O 0.0000 0.0000 0.0000
O 0.7500 0.2500 0.5000

Properties
For the density, the calculation gives 5.57 g cm⁻³. The magnetic moment comes out at 0.0 μB per cell. Its space-group type is I-42d. The value obtained for the uncorrected formation energy is -0.917 eV/atom. The density of states at the Fermi level is 0.8400 states/eV/atom.

=====

# 6
A plane-wave DFT calculation with GGA-PBE was carried out for a relaxed BaRh3O crystal.

abc: 5.1771 5.1771 5.1771
angles: 90.00 90.00 90.00
Sites, in units of the cell vectors:
Ba 0.0000 0.0000 0.0000
Rh 0.0000 0.0000 0.5000
Rh 0.0000 0.5000 0.0000
Rh 0.5000 0.0000 0.0000
O 0.5000 0.5000 0.5000

Properties
For the density, the calculation gives 5.53 g cm⁻³. The calculation puts the energy above the most stable polymorph in this dataset at 10.68 eV/f.u. The magnetic moment comes out at 3.5 μB per cell. Its space-group type is Pm-3m. The value obtained for the uncorrected formation energy is 2.281 eV/atom. The density of states at the Fermi level is 1.3009 states/eV/atom.

=====

# 7
A plane-wave DFT calculation with GGA-PBE was carried out for a relaxed Ba2RhO4 crystal.

abc: 6.1378 6.1378 3.6557
angles: 90.00 90.00 90.00
Sites, in units of the cell vectors:
Ba 0.0000 0.5000 0.0000
Ba 0.5000 0.0000 0.0000
Rh 0.0000 0.0000 0.5000
O 0.2228 0.2228 0.5000
O 0.2228 0.7772 0.5000
O 0.7772 0.2228 0.5000
O 0.7772 0.7772 0.5000

Properties
For the density, the calculation gives 5.32 g cm⁻³. The magnetic moment comes out at 3.0 μB per cell. Its space-group type is P4/mmm. The value obtained for the uncorrected formation energy is -1.801 eV/atom. The density of states at the Fermi level is 0.0723 states/eV/atom.

=====

# 8
A plane-wave DFT calculation with GGA-PBE was carried out for a relaxed BaRh4O8 crystal.

abc: 7.1039 7.1039 7.1039
angles: 52.10 52.10 52.10
Sites, in units of the cell vectors:
Ba 0.0000 0.0000 0.0000
Rh 0.0000 0.0000 0.5000
Rh 0.0000 0.5000 0.0000
Rh 0.5000 0.0000 0.0000
Rh 0.5000 0.5000 0.5000
O 0.2165 0.2165 0.2165
O 0.2230 0.7200 0.7200
O 0.2800 0.2800 0.7770
O 0.2800 0.7770 0.2800
O 0.7200 0.2230 0.7200
O 0.7200 0.7200 0.2230
O 0.7770 0.2800 0.2800
O 0.7835 0.7835 0.7835

Properties
For the density, the calculation gives 5.45 g cm⁻³. The magnetic moment comes out at 0.0 μB per cell. Its space-group type is R-3m. The value obtained for the uncorrected formation energy is -1.080 eV/atom. The density of states at the Fermi level is 0.7181 states/eV/atom.

=====

# 9
A plane-wave DFT calculation with GGA-PBE was carried out for a relaxed BaRhO3 crystal.

abc: 5.8291 5.8291 9.8095
angles: 90.00 90.00 120.00
Sites, in units of the cell vectors:
Ba 0.0000 0.0000 0.0000
Ba 0.0000 0.0000 0.5000
Ba 0.3333 0.6667 0.2500
Ba 0.6667 0.3333 0.7500
Rh 0.3333 0.6667 0.6137
Rh 0.3333 0.6667 0.8863
Rh 0.6667 0.3333 0.1137
Rh 0.6667 0.3333 0.3863
O 0.0000 0.5000 0.0000
O 0.0000 0.5000 0.5000
O 0.1826 0.3652 0.7500
O 0.1826 0.8174 0.7500
O 0.3652 0.1826 0.2500
O 0.5000 0.0000 0.0000
O 0.5000 0.0000 0.5000
O 0.5000 0.5000 0.0000
O 0.5000 0.5000 0.5000
O 0.6348 0.8174 0.7500
O 0.8174 0.1826 0.2500
O 0.8174 0.6348 0.2500

Properties
For the density, the calculation gives 6.63 g cm⁻³. The magnetic moment comes out at 3.7 μB per cell. Its space-group type is P6_3/mmc. The value obtained for the uncorrected formation energy is -1.577 eV/atom. The density of states at the Fermi level is 0.6815 states/eV/atom.

=====

# 10
A plane-wave DFT calculation with GGA-PBE was carried out for a relaxed BaRh3O crystal.

abc: 4.4166 4.4166 4.4166
angles: 90.00 90.00 90.00
Sites, in units of the cell vectors:
Ba 0.0000 0.0000 0.0000
Rh 0.0000 0.5000 0.5000
Rh 0.5000 0.0000 0.5000
Rh 0.5000 0.5000 0.0000
O 0.5000 0.5000 0.5000

Properties
For the density, the calculation gives 8.91 g cm⁻³. The calculation puts the energy above the most stable polymorph in this dataset at 0.00 eV/f.u. The magnetic moment comes out at 1.1 μB per cell. Its space-group type is Pm-3m. The value obtained for the uncorrected formation energy is 0.145 eV/atom. The density of states at the Fermi level is 1.1559 states/eV/atom.

=====

# 11
A plane-wave DFT calculation with GGA-PBE was carried out for a relaxed Ba3RhO4 crystal.

abc: 9.1912 6.0561 5.6530
angles: 90.00 90.00 90.00
Sites, in units of the cell vectors:
Ba 0.0000 0.1510 0.0000
Ba 0.2404 0.3014 0.4628
Ba 0.2596 0.6986 0.9628
Ba 0.5000 0.8490 0.5000
Ba 0.7404 0.6986 0.9628
Ba 0.7596 0.3014 0.4628
Rh 0.0000 0.7796 0.4261
Rh 0.5000 0.2204 0.9261
O 0.0000 0.0901 0.5569
O 0.0000 0.5125 0.2150
O 0.2263 0.7640 0.4431
O 0.2737 0.2360 0.9431
O 0.5000 0.4875 0.7150
O 0.5000 0.9099 0.0569
O 0.7263 0.2360 0.9431
O 0.7737 0.7640 0.4431

Properties
For the density, the calculation gives 6.11 g cm⁻³. The magnetic moment comes out at 2.0 μB per cell. Its space-group type is Pmn2_1. The value obtained for the uncorrected formation energy is -1.888 eV/atom. The density of states at the Fermi level is 0.6067 states/eV/atom.

=====

# 12
A plane-wave DFT calculation with GGA-PBE was carried out for a relaxed Ba6RhO2 crystal.

abc: 7.8096 7.8096 12.3709
angles: 95.55 95.55 33.11
Sites, in units of the cell vectors:
Ba 0.1075 0.1075 0.2420
Ba 0.1786 0.1786 0.5867
Ba 0.3775 0.3775 0.0688
Ba 0.6225 0.6225 0.9312
Ba 0.8214 0.8214 0.4133
Ba 0.8925 0.8925 0.7580
Rh 0.0000 0.0000 0.0000
O 0.2303 0.2303 0.3958
O 0.7697 0.7697 0.6042

Properties
For the density, the calculation gives 3.88 g cm⁻³. The magnetic moment comes out at 0.0 μB per cell. Its space-group type is C2/m. The value obtained for the uncorrected formation energy is -1.132 eV/atom. The density of states at the Fermi level is 0.6474 states/eV/atom.